# Pr2As3Pd5, relaxed, DFT GGA-PBE
data_Pr2As3Pd5
_chemical_formula_sum 'Pr8 As12 Pd20'
_cell_length_a 4.447
_cell_length_b 24.313
_cell_length_c 7.082
_cell_angle_alpha 90.00
_cell_angle_beta 90.00
_cell_angle_gamma 90.00
_symmetry_space_group_name_H-M 'C m c 21'
_symmetry_Int_Tables_number 36
loop_
_symmetry_equiv_pos_as_xyz
'x,y,z'
'-x,-y,z+1/2'
'-x,y,z'
'x,-y,z+1/2'
'x+1/2,y+1/2,z'
'-x+1/2,-y+1/2,z+1/2'
'-x+1/2,y+1/2,z'
'x+1/2,-y+1/2,z+1/2'
loop_
_atom_site_label
_atom_site_fract_x
_atom_site_fract_y
_atom_site_fract_z
Pr1 0.000 0.021 0.000
Pr2 0.000 0.326 0.021
As1 0.000 0.107 0.691
As2 0.000 0.275 0.586
As3 0.000 0.450 0.800
Pd1 0.000 0.107 0.313
Pd2 0.000 0.195 0.888
Pd3 0.000 0.227 0.275
Pd4 0.000 0.376 0.541
Pd5 0.000 0.445 0.197
# - electronic total energy (eV per atom) = -5.760
# - DOS(E_F) (states/eV/f.u.) = 5.07
# - formation energy from the elements (kJ/mol of formula units) = -784